(1)
Crystalline BaSnSbPd2 at its relaxed geometry, computed with PBE-GGA.

Lattice parameters (Å, degrees): 4.7655 4.7465 10.9248 90.00 90.82 90.00
With the nearest neighbours (Å) after each atom.
Sites, in units of the cell vectors:
Ba 0.2446 0.2500 0.2429  8 Pd 3.42-3.71, 4 Sb 3.58-3.65, 4 Sn 3.68-3.69
Ba 0.7554 0.7500 0.7571  8 Pd 3.42-3.71, 4 Sb 3.58-3.65, 4 Sn 3.68-3.69
Sn 0.2491 0.7500 0.4998  4 Pd 2.76-2.77
Sn 0.7509 0.2500 0.5002  4 Pd 2.76-2.77
Sb 0.2715 0.2500 0.8784  5 Pd 2.70-2.76
Sb 0.7285 0.7500 0.1216  5 Pd 2.70-2.76
Pd 0.2170 0.7500 0.9996  4 Sb 2.70-2.76
Pd 0.2554 0.2500 0.6286  1 Sb 2.73, 4 Sn 2.76-2.77
Pd 0.7446 0.7500 0.3714  1 Sb 2.73, 4 Sn 2.76-2.77
Pd 0.7830 0.2500 0.0004  4 Sb 2.70-2.76

Raw total energy in eV/cell: -48.6

***

(2)
Crystalline UCoIr at its relaxed geometry, computed with PBE-GGA.

Lattice parameters (Å, degrees): 6.1588 6.1588 6.1588 90.00 90.00 90.00
With the nearest neighbours (Å) after each atom.
Sites, in units of the cell vectors:
U 0.0000 0.0000 0.0000  4 Co 2.67, 4 Ir 2.67
U 0.0000 0.5000 0.5000  4 Co 2.67, 4 Ir 2.67
U 0.5000 0.0000 0.5000  4 Co 2.67, 4 Ir 2.67
U 0.5000 0.5000 0.0000  4 Co 2.67, 4 Ir 2.67
Co 0.2500 0.2500 0.7500  4 U 2.67
Co 0.2500 0.7500 0.2500  4 U 2.67
Co 0.7500 0.2500 0.2500  4 U 2.67
Co 0.7500 0.7500 0.7500  4 U 2.67
Ir 0.2500 0.2500 0.2500  4 U 2.67
Ir 0.2500 0.7500 0.7500  4 U 2.67
Ir 0.7500 0.2500 0.7500  4 U 2.67
Ir 0.7500 0.7500 0.2500  4 U 2.67

Formation enthalpy at 0 K in kcal/mol of atoms: 5.547
Raw total energy in eV/cell: -106.1

***

(3)
Crystalline DySiNO at its relaxed geometry, computed with PBE-GGA.

Lattice parameters (Å, degrees): 5.2585 8.2265 4.8692 90.00 90.00 90.00
With the nearest neighbours (Å) after each atom.
Sites, in units of the cell vectors:
Dy 0.0126 0.1329 0.0000  3 O 2.49-2.61, 1 N 2.63
Dy 0.4874 0.1329 0.5000  3 O 2.49-2.61, 1 N 2.63
Dy 0.5126 0.8671 0.0000  3 O 2.49-2.61, 1 N 2.63
Dy 0.9874 0.8671 0.5000  3 O 2.49-2.61, 1 N 2.63
Si 0.0790 0.5888 0.9438  1 O 1.61, 3 N 1.76-1.77
Si 0.4210 0.5888 0.4438  1 O 1.61, 3 N 1.76-1.77
Si 0.5790 0.4112 0.9438  1 O 1.61, 3 N 1.76-1.77
Si 0.9210 0.4112 0.4438  1 O 1.61, 3 N 1.76-1.77
N 0.1159 0.5627 0.5859  3 Si 1.76-1.77
N 0.3841 0.5627 0.0859  3 Si 1.76-1.77
N 0.6159 0.4373 0.5859  3 Si 1.76-1.77
N 0.8841 0.4373 0.0859  3 Si 1.76-1.77
O 0.0424 0.2355 0.5060  1 Si 1.61
O 0.4576 0.2355 0.0060  1 Si 1.61
O 0.5424 0.7645 0.5060  1 Si 1.61
O 0.9576 0.7645 0.0060  1 Si 1.61

Raw total energy in eV/cell: -117.9

***

(4)
Crystalline YTmNb2Si2 at its relaxed geometry, computed with PBE-GGA.

Lattice parameters (Å, degrees): 3.9964 3.9964 7.7119 90.00 90.00 90.00
With the nearest neighbours (Å) after each atom.
Sites, in units of the cell vectors:
Y 0.0000 0.0000 0.0000  5 Si 2.96-3.09
Tm 0.5000 0.5000 0.2931  5 Si 2.95-3.14
Nb 0.0000 0.5000 0.6432  4 Si 2.73-2.74, 4 Nb 2.83
Nb 0.5000 0.0000 0.6432  4 Si 2.73-2.74, 4 Nb 2.83
Si 0.0000 0.0000 0.4013  4 Nb 2.73, 4 Tm 2.95
Si 0.5000 0.5000 0.8855  4 Nb 2.74, 4 Y 2.96

Raw total energy in eV/cell: -45.8

***

(5)
Crystalline Pa2GeO4 at its relaxed geometry, computed with PBE-GGA.

Lattice parameters (Å, degrees): 7.3096 7.3096 7.3096 119.92 119.92 90.14
With the nearest neighbours (Å) after each atom.
Sites, in units of the cell vectors:
Pa 0.0000 0.0000 0.0000  6 O 2.33
Pa 0.0000 0.0000 0.5000  6 O 2.33
Pa 0.0000 0.5000 0.0000  6 O 2.33
Pa 0.5000 0.0000 0.5000  6 O 2.33
Ge 0.3750 0.6250 0.7500  4 O 2.75
Ge 0.6250 0.3750 0.2500  4 O 2.75
O 0.1652 0.2220 0.9432  3 Pa 2.33
O 0.2212 0.7780 0.4432  3 Pa 2.33
O 0.2220 0.1652 0.4432  3 Pa 2.33
O 0.2220 0.7788 0.0568  3 Pa 2.33
O 0.7780 0.2212 0.9432  3 Pa 2.33
O 0.7780 0.8348 0.5568  3 Pa 2.33
O 0.7788 0.2220 0.5568  3 Pa 2.33
O 0.8348 0.7780 0.0568  3 Pa 2.33

Raw total energy in eV/cell: -112.3

***

(6)
Crystalline AlFeSb at its relaxed geometry, computed with PBE-GGA.

Lattice parameters (Å, degrees): 5.9210 5.9210 5.9210 90.00 90.00 90.00
With the nearest neighbours (Å) after each atom.
Sites, in units of the cell vectors:
Al 0.0000 0.0000 0.0000  4 Fe 2.56
Al 0.0000 0.5000 0.5000  4 Fe 2.56
Al 0.5000 0.0000 0.5000  4 Fe 2.56
Al 0.5000 0.5000 0.0000  4 Fe 2.56
Fe 0.2500 0.2500 0.2500  4 Sb 2.56, 4 Al 2.56
Fe 0.2500 0.7500 0.7500  4 Sb 2.56, 4 Al 2.56
Fe 0.7500 0.2500 0.7500  4 Sb 2.56, 4 Al 2.56
Fe 0.7500 0.7500 0.2500  4 Sb 2.56, 4 Al 2.56
Sb 0.0000 0.0000 0.5000  4 Fe 2.56
Sb 0.0000 0.5000 0.0000  4 Fe 2.56
Sb 0.5000 0.0000 0.0000  4 Fe 2.56
Sb 0.5000 0.5000 0.5000  4 Fe 2.56

Raw total energy in eV/cell: -65.2

***

(7)
Crystalline Nb2Ga3W4C3 at its relaxed geometry, computed with PBE-GGA.

Lattice parameters (Å, degrees): 5.3906 5.3906 13.6097 101.44 101.44 60.00
With the nearest neighbours (Å) after each atom.
Sites, in units of the cell vectors:
Nb 0.0321 0.8653 0.5968  3 C 2.20-2.21
Nb 0.1347 0.9679 0.9032  3 C 2.20-2.21
Nb 0.8653 0.0321 0.0968  3 C 2.20-2.21
Nb 0.9679 0.1347 0.4032  3 C 2.20-2.21
Ga 0.0858 0.2757 0.7497  4 W 2.77-2.79, 2 Nb 2.81, 4 Ga 2.99
Ga 0.2757 0.0858 0.2497  4 W 2.77-2.79, 2 Nb 2.81, 4 Ga 2.99
Ga 0.4484 0.5516 0.7500  4 W 2.78, 2 Nb 2.83, 4 Ga 2.99
Ga 0.5516 0.4484 0.2500  4 W 2.78, 2 Nb 2.83, 4 Ga 2.99
Ga 0.7243 0.9142 0.7503  4 W 2.77-2.79, 2 Nb 2.81, 4 Ga 2.99
Ga 0.9142 0.7243 0.2503  4 W 2.77-2.79, 2 Nb 2.81, 4 Ga 2.99
W 0.1938 0.3618 0.0855  3 C 2.12-2.13
W 0.3036 0.4727 0.4147  3 C 2.12-2.14
W 0.3618 0.1938 0.5855  3 C 2.12-2.13
W 0.4727 0.3036 0.9147  3 C 2.12-2.14
W 0.5273 0.6964 0.0853  3 C 2.12-2.14
W 0.6382 0.8062 0.4145  3 C 2.12-2.13
W 0.6964 0.5273 0.5853  3 C 2.12-2.14
W 0.8062 0.6382 0.9145  3 C 2.12-2.13
C 0.0000 0.5000 0.5000  4 W 2.12-2.13, 2 Nb 2.21
C 0.1661 0.6688 0.0002  4 W 2.12-2.14, 2 Nb 2.20
C 0.3312 0.8339 0.4998  4 W 2.12-2.14, 2 Nb 2.20
C 0.5000 0.0000 0.0000  4 W 2.12-2.13, 2 Nb 2.21
C 0.6688 0.1661 0.5002  4 W 2.12-2.14, 2 Nb 2.20
C 0.8339 0.3312 0.9998  4 W 2.12-2.14, 2 Nb 2.20

Raw total energy in eV/cell: -221.0

***

(8)
Crystalline Ba2GePdS6 at its relaxed geometry, computed with PBE-GGA.

Lattice parameters (Å, degrees): 6.8908 6.8908 6.8908 60.00 60.00 60.00
With the nearest neighbours (Å) after each atom.
Sites, in units of the cell vectors:
Ba 0.2500 0.2500 0.2500  12 S 3.45
Ba 0.7500 0.7500 0.7500  12 S 3.45
Ge 0.0000 0.0000 0.0000  6 S 2.45
Pd 0.5000 0.5000 0.5000  6 S 2.42
S 0.2512 0.2512 0.7488  1 Pd 2.42, 1 Ge 2.45
S 0.2512 0.7488 0.2512  1 Pd 2.42, 1 Ge 2.45
S 0.2512 0.7488 0.7488  1 Pd 2.42, 1 Ge 2.45
S 0.7488 0.2512 0.2512  1 Pd 2.42, 1 Ge 2.45
S 0.7488 0.2512 0.7488  1 Pd 2.42, 1 Ge 2.45
S 0.7488 0.7488 0.2512  1 Pd 2.42, 1 Ge 2.45

Raw total energy in eV/cell: -46.2

***

(9)
Crystalline Zr2Bi3W4C3 at its relaxed geometry, computed with PBE-GGA.

Lattice parameters (Å, degrees): 5.8379 5.8379 14.1436 96.43 96.43 60.77
With the nearest neighbours (Å) after each atom.
Sites, in units of the cell vectors:
Zr 0.0205 0.8604 0.5909  3 C 2.34-2.43
Zr 0.1396 0.9795 0.9091  3 C 2.34-2.43
Zr 0.8604 0.0205 0.0909  3 C 2.34-2.43
Zr 0.9795 0.1396 0.4091  3 C 2.34-2.43
Bi 0.0673 0.2805 0.7389  2 W 2.90-2.97, 2 Zr 3.01-3.14
Bi 0.2805 0.0673 0.2389  2 W 2.90-2.97, 2 Zr 3.01-3.14
Bi 0.4308 0.5692 0.7500  2 W 2.99, 2 Zr 3.06, 4 Bi 3.26-3.28
Bi 0.5692 0.4308 0.2500  2 W 2.99, 2 Zr 3.06, 4 Bi 3.26-3.28
Bi 0.7195 0.9327 0.7611  2 W 2.90-2.97, 2 Zr 3.01-3.14
Bi 0.9327 0.7195 0.2611  2 W 2.90-2.97, 2 Zr 3.01-3.14
W 0.1879 0.3269 0.0647  3 C 2.09-2.15
W 0.3073 0.5138 0.4302  3 C 2.11-2.21
W 0.3269 0.1879 0.5647  3 C 2.09-2.15
W 0.4862 0.6927 0.0698  3 C 2.11-2.21
W 0.5138 0.3073 0.9302  3 C 2.11-2.21
W 0.6731 0.8121 0.4353  3 C 2.09-2.15
W 0.6927 0.4862 0.5698  3 C 2.11-2.21
W 0.8121 0.6731 0.9353  3 C 2.09-2.15
C 0.0000 0.5000 0.5000  4 W 2.09-2.18
C 0.1739 0.6456 0.9967  4 W 2.11-2.21, 1 Zr 2.34
C 0.3544 0.8261 0.5033  4 W 2.11-2.21, 1 Zr 2.34
C 0.5000 0.0000 0.0000  4 W 2.09-2.18
C 0.6456 0.1739 0.4967  4 W 2.11-2.21, 1 Zr 2.34
C 0.8261 0.3544 0.0033  4 W 2.11-2.21, 1 Zr 2.34

Raw total energy in eV/cell: -215.3

***

(10)
Crystalline TaCoAsPt at its relaxed geometry, computed with PBE-GGA.

Lattice parameters (Å, degrees): 6.2731 6.2731 6.2731 90.00 90.00 90.00
With the nearest neighbours (Å) after each atom.
Sites, in units of the cell vectors:
Ta 0.0000 0.0000 0.0000  4 Co 2.72, 4 Pt 2.72
Ta 0.0000 0.5000 0.5000  4 Co 2.72, 4 Pt 2.72
Ta 0.5000 0.0000 0.5000  4 Co 2.72, 4 Pt 2.72
Ta 0.5000 0.5000 0.0000  4 Co 2.72, 4 Pt 2.72
Co 0.2500 0.2500 0.7500  4 As 2.72, 4 Ta 2.72
Co 0.2500 0.7500 0.2500  4 As 2.72, 4 Ta 2.72
Co 0.7500 0.2500 0.2500  4 As 2.72, 4 Ta 2.72
Co 0.7500 0.7500 0.7500  4 As 2.72, 4 Ta 2.72
As 0.0000 0.0000 0.5000  4 Pt 2.72, 4 Co 2.72
As 0.0000 0.5000 0.0000  4 Pt 2.72, 4 Co 2.72
As 0.5000 0.0000 0.0000  4 Pt 2.72, 4 Co 2.72
As 0.5000 0.5000 0.5000  4 Pt 2.72, 4 Co 2.72
Pt 0.2500 0.2500 0.2500  4 Ta 2.72, 4 As 2.72
Pt 0.2500 0.7500 0.7500  4 Ta 2.72, 4 As 2.72
Pt 0.7500 0.2500 0.7500  4 Ta 2.72, 4 As 2.72
Pt 0.7500 0.7500 0.2500  4 Ta 2.72, 4 As 2.72

Raw total energy in eV/cell: -117.6

***

(11)
Crystalline ZrBeNb at its relaxed geometry, computed with PBE-GGA.

Lattice parameters (Å, degrees): 5.9726 5.9726 5.9726 90.00 90.00 90.00
With the nearest neighbours (Å) after each atom.
Sites, in units of the cell vectors:
Zr 0.0000 0.0000 0.0000  4 Be 2.59
Zr 0.0000 0.5000 0.5000  4 Be 2.59
Zr 0.5000 0.0000 0.5000  4 Be 2.59
Zr 0.5000 0.5000 0.0000  4 Be 2.59
Be 0.2500 0.2500 0.7500  4 Zr 2.59, 4 Nb 2.59
Be 0.2500 0.7500 0.2500  4 Zr 2.59, 4 Nb 2.59
Be 0.7500 0.2500 0.2500  4 Zr 2.59, 4 Nb 2.59
Be 0.7500 0.7500 0.7500  4 Zr 2.59, 4 Nb 2.59
Nb 0.0000 0.0000 0.5000  4 Be 2.59
Nb 0.0000 0.5000 0.0000  4 Be 2.59
Nb 0.5000 0.0000 0.0000  4 Be 2.59
Nb 0.5000 0.5000 0.5000  4 Be 2.59

Raw total energy in eV/cell: -86.2

***

(12)
Crystalline NbCl at its relaxed geometry, computed with PBE-GGA.

Lattice parameters (Å, degrees): 5.5442 5.5442 5.5442 90.00 90.00 90.00
With the nearest neighbours (Å) after each atom.
Sites, in units of the cell vectors:
Nb 0.0000 0.0000 0.0000  4 Cl 2.40
Nb 0.0000 0.5000 0.5000  4 Cl 2.40
Nb 0.5000 0.0000 0.5000  4 Cl 2.40
Nb 0.5000 0.5000 0.0000  4 Cl 2.40
Cl 0.2500 0.2500 0.2500  4 Nb 2.40
Cl 0.2500 0.7500 0.7500  4 Nb 2.40
Cl 0.7500 0.2500 0.7500  4 Nb 2.40
Cl 0.7500 0.7500 0.2500  4 Nb 2.40

Raw total energy in eV/cell: -42.9